# 1
The following is a SCAN calculation of a crystal of Y2Mg2Cu3 relaxed with PBEsol, from Alexandria.

Computed properties:
Energy of formation from the pure elements: -0.182 eV per atom
DOS(E_F): 3.69 states/eV/f.u.
Symmetry: C2/m, No. 12

Lattice parameters (Å, degrees): 7.343 7.343 11.310 126.18 126.18 34.83
Fractional coordinates of all 14 atoms:
Y 0.074 0.074 0.271
Y 0.340 0.340 0.895
Y 0.660 0.660 0.105
Y 0.926 0.926 0.729
Mg 0.376 0.376 0.468
Mg 0.382 0.382 0.214
Mg 0.618 0.618 0.786
Mg 0.624 0.624 0.532
Cu 0.081 0.081 0.633
Cu 0.177 0.177 0.947
Cu 0.260 0.260 0.588
Cu 0.740 0.740 0.412
Cu 0.823 0.823 0.053
Cu 0.919 0.919 0.367

# 2
The following is a SCAN calculation of a crystal of SiTc2W relaxed with PBEsol, from Alexandria.

Computed properties:
Formation energy from raw total energies: -326 meV per atom
DOS(E_F): 1.83 states/eV/f.u.
Symmetry: P4/mmm, No. 123

Lattice parameters (Å, degrees): 3.037 3.037 5.976 90.00 90.00 90.00
Fractional coordinates of all 4 atoms:
Si 0.000 0.000 0.000
Tc 0.500 0.500 0.238
Tc 0.500 0.500 0.762
W 0.000 0.000 0.500

# 3
The following is a SCAN calculation of a crystal of PrCoGe3 relaxed with PBEsol, from Alexandria.

Computed properties:
Energy of formation from the pure elements: -0.610 eV per atom
DOS(E_F): 1.68 states/eV/f.u.
Symmetry: I4mm, No. 107

Lattice parameters (Å, degrees): 4.274 4.274 9.762 90.00 90.00 90.00
Fractional coordinates of all 10 atoms:
Pr 0.000 0.000 0.000
Pr 0.500 0.500 0.500
Co 0.000 0.000 0.665
Co 0.500 0.500 0.165
Ge 0.000 0.000 0.433
Ge 0.000 0.500 0.257
Ge 0.000 0.500 0.757
Ge 0.500 0.000 0.257
Ge 0.500 0.000 0.757
Ge 0.500 0.500 0.933

# 4
The following is a SCAN calculation of a crystal of Sn2Pt relaxed with PBEsol, from Alexandria.

Computed properties:
Energy of formation from the pure elements: -0.494 eV per atom
DOS(E_F): 0.83 states/eV/f.u.
Symmetry: Fm-3m, No. 225

Lattice parameters (Å, degrees): 6.441 6.441 6.441 90.00 90.00 90.00
Fractional coordinates of all 12 atoms:
Sn 0.250 0.250 0.250
Sn 0.250 0.250 0.750
Sn 0.250 0.750 0.250
Sn 0.250 0.750 0.750
Sn 0.750 0.250 0.250
Sn 0.750 0.250 0.750
Sn 0.750 0.750 0.250
Sn 0.750 0.750 0.750
Pt 0.000 0.000 0.000
Pt 0.000 0.500 0.500
Pt 0.500 0.000 0.500
Pt 0.500 0.500 0.000